(1)
Compound: NiMoP2Cl
Source: Alexandria via LeMat-Bulk
Functional: SCAN
Structure: single point on PBEsol structure

DOS(E_F) ... 0.985 states/eV per atom
Energy relative to the elements, uncorrected ... 740 meV per atom
Total moment ... 1.11 μB/cell
Raw total energy ... -1.1191 Ry/atom

Unit cell a=4.610 b=4.610 c=4.700 alpha=90.00 beta=90.00 gamma=90.00
Atoms (fractional coordinates):
Ni 0.000 0.000 0.000
Mo 0.500 0.500 0.500
P 0.000 0.500 0.500
P 0.500 0.000 0.500
Cl 0.500 0.500 0.000



(2)
Compound: MoClO2
Source: Alexandria via LeMat-Bulk
Functional: SCAN
Structure: single point on PBEsol structure

DOS(E_F) ... 1.004 states/eV per atom
Energy relative to the elements, uncorrected ... -1416 meV per atom
Total moment ... 0.00 μB/cell
Raw total energy ... -1.1207 Ry/atom

Unit cell a=5.892 b=5.892 c=5.892 alpha=60.00 beta=60.00 gamma=60.00
Atoms (fractional coordinates):
Mo 0.125 0.125 0.125
Mo 0.875 0.875 0.875
Cl 0.375 0.375 0.375
Cl 0.625 0.625 0.625
O 0.000 0.000 0.000
O 0.000 0.000 0.500
O 0.000 0.500 0.000
O 0.500 0.000 0.000



(3)
Compound: MoCl2O
Source: Alexandria via LeMat-Bulk
Functional: SCAN
Structure: single point on PBEsol structure

DOS(E_F) ... 0.370 states/eV per atom
Energy relative to the elements, uncorrected ... -1370 meV per atom
Total moment ... 0.60 μB/cell
Raw total energy ... -1.1494 Ry/atom

Unit cell a=7.033 b=7.033 c=7.033 alpha=154.31 beta=149.16 gamma=40.55
Atoms (fractional coordinates):
Mo 0.000 0.000 0.000
Cl 0.140 0.640 0.500
Cl 0.860 0.360 0.500
O 0.500 0.000 0.500



(4)
Compound: MoCl4O
Source: Alexandria via LeMat-Bulk
Functional: SCAN
Structure: single point on PBEsol structure

Energy relative to the elements, uncorrected ... -1177 meV per atom
Total moment ... 0.00 μB/cell
Raw total energy ... -0.9810 Ry/atom

Unit cell a=6.258 b=6.908 c=7.643 alpha=103.87 beta=108.96 gamma=90.90
Atoms (fractional coordinates):
Mo 0.081 0.258 0.221
Mo 0.919 0.742 0.779
Cl 0.155 0.919 0.687
Cl 0.187 0.851 0.091
Cl 0.336 0.315 0.080
Cl 0.371 0.245 0.487
Cl 0.629 0.755 0.513
Cl 0.664 0.685 0.920
Cl 0.813 0.149 0.909
Cl 0.845 0.081 0.313
O 0.006 0.486 0.281
O 0.994 0.514 0.719



(5)
Compound: MoCl3O
Source: Alexandria via LeMat-Bulk
Functional: SCAN
Structure: single point on PBEsol structure

Energy relative to the elements, uncorrected ... -1304 meV per atom
Total moment ... 4.00 μB/cell
Raw total energy ... -1.0521 Ry/atom

Unit cell a=5.945 b=13.832 c=6.028 alpha=90.00 beta=92.18 gamma=90.00
Atoms (fractional coordinates):
Mo 0.030 0.163 0.298
Mo 0.030 0.337 0.798
Mo 0.970 0.663 0.202
Mo 0.970 0.837 0.702
Cl 0.163 0.693 0.562
Cl 0.163 0.807 0.062
Cl 0.272 0.187 0.606
Cl 0.272 0.313 0.106
Cl 0.291 0.070 0.137
Cl 0.291 0.430 0.637
Cl 0.709 0.570 0.363
Cl 0.709 0.930 0.863
Cl 0.728 0.687 0.894
Cl 0.728 0.813 0.394
Cl 0.837 0.193 0.938
Cl 0.837 0.307 0.438
O 0.155 0.584 0.119
O 0.155 0.916 0.619
O 0.845 0.084 0.381
O 0.845 0.416 0.881



(6)
Compound: MoP2ClO
Source: Alexandria via LeMat-Bulk
Functional: SCAN
Structure: single point on PBEsol structure

DOS(E_F) ... 0.784 states/eV per atom
Energy relative to the elements, uncorrected ... 695 meV per atom
Total moment ... 1.69 μB/cell
Raw total energy ... -0.9763 Ry/atom

Unit cell a=4.606 b=4.606 c=4.683 alpha=90.00 beta=90.00 gamma=90.00
Atoms (fractional coordinates):
Mo 0.000 0.000 0.000
P 0.000 0.500 0.000
P 0.500 0.000 0.000
Cl 0.000 0.000 0.500
O 0.500 0.500 0.500



(7)
Compound: RbMoPClO5
Source: Alexandria via LeMat-Bulk
Functional: SCAN
Structure: single point on PBEsol structure

Energy relative to the elements, uncorrected ... -2267 meV per atom
Total moment ... 2.00 μB/cell
Raw total energy ... -1.0254 Ry/atom

Unit cell a=6.466 b=6.466 c=7.474 alpha=90.00 beta=90.00 gamma=90.00
Atoms (fractional coordinates):
Rb 0.250 0.750 0.000
Rb 0.750 0.250 0.000
Mo 0.250 0.250 0.408
Mo 0.750 0.750 0.592
P 0.250 0.750 0.500
P 0.750 0.250 0.500
Cl 0.250 0.250 0.063
Cl 0.750 0.750 0.937
O 0.061 0.750 0.626
O 0.250 0.250 0.630
O 0.250 0.561 0.374
O 0.250 0.939 0.374
O 0.439 0.750 0.626
O 0.561 0.250 0.374
O 0.750 0.061 0.626
O 0.750 0.439 0.626
O 0.750 0.750 0.370
O 0.939 0.250 0.374



(8)
Compound: TbMoClO4
Source: Alexandria via LeMat-Bulk
Functional: SCAN
Structure: single point on PBEsol structure

DOS(E_F) ... 0.000 states/eV per atom
Energy relative to the elements, uncorrected ... -2736 meV per atom
Total moment ... 0.00 μB/cell
Raw total energy ... -1.4039 Ry/atom

Unit cell a=6.249 b=6.249 c=6.792 alpha=104.04 beta=104.04 gamma=70.82
Atoms (fractional coordinates):
Tb 0.222 0.222 0.109
Tb 0.778 0.778 0.891
Mo 0.362 0.362 0.732
Mo 0.638 0.638 0.268
Cl 0.008 0.008 0.763
Cl 0.992 0.992 0.237
O 0.110 0.489 0.847
O 0.294 0.294 0.465
O 0.459 0.459 0.201
O 0.489 0.110 0.847
O 0.511 0.890 0.153
O 0.541 0.541 0.799
O 0.706 0.706 0.535
O 0.890 0.511 0.153



Copy entry 2 word for word.
Compound: MoClO2
Source: Alexandria via LeMat-Bulk
Functional: SCAN
Structure: single point on PBEsol structure

DOS(E_F) ... 1.004 states/eV per atom
Energy relative to the elements, uncorrected ... -1416 meV per atom
Total moment ... 0.00 μB/cell
Raw total energy ... -1.1207 Ry/atom

Unit cell a=5.892 b=5.892 c=5.892 alpha=60.00 beta=60.00 gamma=60.00
Atoms (fractional coordinates):
Mo 0.125 0.125 0.125
Mo 0.875 0.875 0.875
Cl 0.375 0.375 0.375
Cl 0.625 0.625 0.625
O 0.000 0.000 0.000
O 0.000 0.000 0.500
O 0.000 0.500 0.000
O 0.500 0.000 0.000